The following is a PBE-GGA calculation of a geometry-optimized AcZn2CdPd structure, from Alexandria.

Cell: 4.309 4.325 12.001 Å, 90.00 90.00 90.00°
Space group Imm2 (No. 44)
Symmetry-distinct sites (fractional):
Ac1 0.000 0.000 0.000
Zn1 0.000 0.000 0.617
Zn2 0.000 0.500 0.258
Cd1 0.000 0.500 0.753
Pd1 0.000 0.000 0.402

As for the crystal system: orthorhombic. The total magnetization comes out at 0.0000 μB per atom. The energy relative to the elements is -448 meV/atom.

=====

The following is a PBE-GGA calculation of a geometry-optimized Er2GaSi3Ni12 structure, from Alexandria.

Cell: 8.3772 8.3772 11.8760 Å, 90.00 90.00 120.00°
Space group R-3m (No. 166, hexagonal axes)
Symmetry-distinct sites (fractional):
Er1 0.0000 0.0000 0.1534
Ga1 0.0000 0.0000 0.5000
Si1 0.0000 0.5000 0.0000
Ni1 0.0115 0.5057 0.1923
Ni2 0.0122 0.5061 0.3917

As for the crystal system: trigonal. The total magnetization comes out at 0.0000 μB per atom. As for the formation energy from raw total energies: -0.23 eV per atom.

=====

The following is a PBE-GGA calculation of a geometry-optimized Hg2GePtW structure, from Alexandria.

Cell: 4.913 4.913 4.786 Å, 90.00 90.00 90.00°
Space group P4/mmm (No. 123)
Symmetry-distinct sites (fractional):
Hg1 0.000 0.500 0.000
Ge1 0.000 0.000 0.000
Pt1 0.500 0.500 0.500
W1 0.000 0.000 0.500

As for the crystal system: tetragonal. The total magnetization comes out at 0.2787 μB per atom. The energy relative to the elements is 1432 meV/atom.

=====

The following is a PBE-GGA calculation of a geometry-optimized LaPmY2 structure, from Alexandria.

Cell: 3.658 3.658 10.167 Å, 90.00 90.00 90.00°
Space group P4/mmm (No. 123)
Symmetry-distinct sites (fractional):
La1 0.000 0.000 0.000
Pm1 0.000 0.000 0.500
Y1 0.500 0.500 0.254

As for the crystal system: tetragonal. The value obtained for the energy above the most stable polymorph in this dataset is 14.6 meV/atom. The total magnetization comes out at 0.0000 μB per atom. The energy relative to the elements is 25 meV/atom.

=====

The following is a PBE-GGA calculation of a geometry-optimized CaUSb2 structure, from Alexandria.

Cell: 3.722 3.722 7.966 Å, 90.00 90.00 90.00°
Space group P4/mmm (No. 123)
Symmetry-distinct sites (fractional):
Ca1 0.000 0.000 0.000
U1 0.000 0.000 0.500
Sb1 0.500 0.500 0.261

As for the crystal system: tetragonal. The value obtained for the energy above the most stable polymorph in this dataset is 99.3 meV/atom. The total magnetization comes out at 0.7106 μB per atom. As for the formation energy from raw total energies: -0.46 eV per atom.

=====

The following is a PBE-GGA calculation of a geometry-optimized HfZrHg2 structure, from Alexandria.

Cell: 7.062 9.880 9.880 Å, 90.00 90.00 90.00°
Space group Fmmm (No. 69)
Symmetry-distinct sites (fractional):
Hf1 0.000 0.000 0.250
Zr1 0.000 0.250 0.000
Hg1 0.249 0.000 0.000
Hg2 0.250 0.250 0.250

As for the crystal system: orthorhombic. The value obtained for the energy above the most stable polymorph in this dataset is 41.7 meV/atom. The total magnetization comes out at 0.0000 μB per atom. The energy relative to the elements is -66 meV/atom.

=====

The following is a PBE-GGA calculation of a geometry-optimized MgTlF3 structure, from Alexandria.

Cell: 4.673 4.673 4.673 Å, 90.00 90.00 90.00°
Space group Pm-3m (No. 221)
Symmetry-distinct sites (fractional):
Mg1 0.000 0.000 0.000
Tl1 0.500 0.500 0.500
F1 0.000 0.500 0.500

As for the crystal system: cubic. The total magnetization comes out at 0.1435 μB per atom. As for the formation energy from raw total energies: -1.47 eV per atom.

=====

The following is a PBE-GGA calculation of a geometry-optimized CuTeAuN2 structure, from Alexandria.

Cell: 3.936 3.936 6.986 Å, 90.00 90.00 90.00°
Space group P4/mmm (No. 123)
Symmetry-distinct sites (fractional):
Cu1 0.000 0.000 0.000
Te1 0.500 0.500 0.000
Au1 0.500 0.500 0.500
N1 0.000 0.500 0.500

As for the crystal system: tetragonal. The value obtained for the energy above the most stable polymorph in this dataset is 222.2 meV/atom. The total magnetization comes out at 0.7007 μB per atom. As for the formation energy from raw total energies: 1.67 eV per atom.

=====

The following is a PBE-GGA calculation of a geometry-optimized Ca4Pa3As8 structure, from Alexandria.

Cell: 8.3657 8.3657 22.4135 Å, 90.00 90.00 120.00°
Space group R-3m (No. 166, hexagonal axes)
Symmetry-distinct sites (fractional):
Ca1 0.0000 0.0000 0.0000
Ca2 0.0000 0.0000 0.1458
Ca3 0.0000 0.0000 0.5000
Pa1 0.0000 0.5000 0.0000
As1 0.0000 0.0000 0.2704
As2 0.0166 0.5083 0.2600

As for the crystal system: trigonal. The total magnetization comes out at 0.0000 μB per atom. The energy relative to the elements is -857 meV/atom.

=====

The following is a PBE-GGA calculation of a geometry-optimized Na5Tl4Pd2 structure, from Alexandria.

Cell: 8.149 3.542 9.949 Å, 90.00 95.42 90.00°
Space group P2/m (No. 10)
Symmetry-distinct sites (fractional):
Na1 0.000 0.000 0.000
Na2 0.042 0.000 0.343
Na3 0.354 0.000 0.861
Tl1 0.299 0.500 0.567
Tl2 0.300 0.500 0.151
Pd1 0.419 0.000 0.363

As for the crystal system: monoclinic. The total magnetization comes out at 0.0000 μB per atom. The energy relative to the elements is -143 meV/atom.

=====

The following is a PBE-GGA calculation of a geometry-optimized ScHg8 structure, from Alexandria.

Cell: 9.997 9.997 4.329 Å, 90.00 90.00 90.00°
Space group I4/mmm (No. 139)
Symmetry-distinct sites (fractional):
Sc1 0.000 0.000 0.000
Hg1 0.000 0.331 0.000
Hg2 0.162 0.162 0.500

As for the crystal system: tetragonal. The total magnetization comes out at 0.0000 μB per atom. The energy relative to the elements is -54 meV/atom.

=====

The following is a PBE-GGA calculation of a geometry-optimized Sr2P2Au structure, from Alexandria.

Cell: 7.634 7.634 4.248 Å, 90.00 90.00 90.00°
Space group P4/mbm (No. 127)
Symmetry-distinct sites (fractional):
Sr1 0.188 0.312 0.000
P1 0.102 0.602 0.500
Au1 0.000 0.000 0.500

As for the crystal system: tetragonal. The value obtained for the energy above the most stable polymorph in this dataset is 104.4 meV/atom. The total magnetization comes out at 0.0000 μB per atom. The energy relative to the elements is -792 meV/atom.

=====

The following is a PBE-GGA calculation of a geometry-optimized Pd4PtRh structure, from Alexandria.

Cell: 6.146 6.146 5.324 Å, 90.00 90.00 90.00°
Space group P-42c (No. 112)
Symmetry-distinct sites (fractional):
Pd1 0.173 0.248 0.397
Pt1 0.000 0.500 0.750
Rh1 0.500 0.500 0.000

As for the crystal system: tetragonal. The value obtained for the energy above the most stable polymorph in this dataset is 298.6 meV/atom. The total magnetization comes out at 0.1527 μB per atom. The energy relative to the elements is 360 meV/atom.

=====

The following is a PBE-GGA calculation of a geometry-optimized Mn2NbRh2 structure, from Alexandria.

Cell: 7.147 7.147 2.707 Å, 90.00 90.00 90.00°
Space group P4/mbm (No. 127)
Symmetry-distinct sites (fractional):
Mn1 0.116 0.384 0.000
Nb1 0.000 0.000 0.000
Rh1 0.178 0.678 0.500

As for the crystal system: tetragonal. The value obtained for the energy above the most stable polymorph in this dataset is 0.0 meV/atom. The total magnetization comes out at 0.2609 μB per atom. The energy relative to the elements is -40 meV/atom.

=====

The following is a PBE-GGA calculation of a geometry-optimized BeCr2Br structure, from Alexandria.

Cell: 7.180 3.243 6.301 Å, 90.00 115.65 90.00°
Space group C2/m (No. 12)
Symmetry-distinct sites (fractional):
Be1 0.000 0.000 0.000
Cr1 0.148 0.500 0.887
Br1 0.000 0.000 0.500

As for the crystal system: monoclinic. The value obtained for the energy above the most stable polymorph in this dataset is 155.7 meV/atom. The total magnetization comes out at 0.0004 μB per atom. As for the formation energy from raw total energies: 0.53 eV per atom.

=====

The following is a PBE-GGA calculation of a geometry-optimized ErTiTlCu structure, from Alexandria.

Cell: 6.926 6.926 6.926 Å, 90.00 90.00 90.00°
Space group F-43m (No. 216)
Symmetry-distinct sites (fractional):
Er1 0.000 0.000 0.000
Ti1 0.000 0.000 0.500
Tl1 0.250 0.250 0.750
Cu1 0.250 0.250 0.250

As for the crystal system: cubic. The total magnetization comes out at 0.3460 μB per atom. The energy relative to the elements is -4 meV/atom.

=====

The following is a PBE-GGA calculation of a geometry-optimized CoPb structure, from Alexandria.

Cell: 7.710 7.710 7.710 Å, 90.00 90.00 90.00°
Space group I-43m (No. 217)
Symmetry-distinct sites (fractional):
Co1 0.108 0.108 0.108
Pb1 0.206 0.206 0.794

As for the crystal system: cubic. The total magnetization comes out at 0.2998 μB per atom. The energy relative to the elements is 579 meV/atom.

=====

The following is a PBE-GGA calculation of a geometry-optimized Y2MgCd structure, from Alexandria.

Cell: 4.615 4.615 10.073 Å, 90.00 90.00 90.00°
Space group I-4m2 (No. 119)
Symmetry-distinct sites (fractional):
Y1 0.000 0.000 0.000
Y2 0.000 0.500 0.250
Mg1 0.000 0.000 0.500
Cd1 0.000 0.500 0.750

As for the crystal system: tetragonal. The total magnetization comes out at 0.0000 μB per atom. The energy relative to the elements is -95 meV/atom.

=====

The following is a PBE-GGA calculation of a geometry-optimized NaTh2Zr structure, from Alexandria.

Cell: 3.3689 3.3689 38.1099 Å, 90.00 90.00 120.00°
Space group R-3m (No. 166, hexagonal axes)
Symmetry-distinct sites (fractional):
Na1 0.0000 0.0000 0.0000
Th1 0.0000 0.0000 0.0937
Zr1 0.0000 0.0000 0.5000

As for the crystal system: trigonal. The total magnetization comes out at 0.0000 μB per atom. The energy relative to the elements is 264 meV/atom.

=====

The following is a PBE-GGA calculation of a geometry-optimized TaTiAu structure, from Alexandria.

Cell: 4.7540 4.7540 2.7472 Å, 90.00 90.00 120.00°
Space group P-6m2 (No. 187)
Symmetry-distinct sites (fractional):
Ta1 0.0000 0.0000 0.0000
Ti1 0.6667 0.3333 0.5000
Au1 0.3333 0.6667 0.0000

As for the crystal system: hexagonal. The value obtained for the energy above the most stable polymorph in this dataset is 306.0 meV/atom. The total magnetization comes out at 0.2372 μB per atom. The energy relative to the elements is 99 meV/atom.